Run w
SrMoCl2 | GGA-PBEsol | optimized geometry

density of states at the Fermi level = 2.6 states/eV per cell
density = 4.1 g cm⁻³
crystal system = trigonal

The structure in CIF format:
```
data_SrMoCl2
_cell_length_a 3.782
_cell_length_b 3.782
_cell_length_c 8.544
_cell_angle_alpha 77.21
_cell_angle_beta 77.21
_cell_angle_gamma 60.00
_space_group_name_H-M_alt 'P 1'
_space_group_IT_number 1
loop_
_space_group_symop_operation_xyz
'x,y,z'
loop_
_atom_site_label
_atom_site_type_symbol
_atom_site_fract_x
_atom_site_fract_y
_atom_site_fract_z
Cl1 Cl 0.118 0.118 0.646
Cl2 Cl 0.882 0.882 0.354
Mo1 Mo 0.500 0.500 0.500
Sr1 Sr 0.000 0.000 0.000
```



Run x
SrMoCl2 | GGA-PBEsol | optimized geometry

density of states at the Fermi level = 3.0 states/eV per cell
density = 5.0 g cm⁻³
crystal system = cubic

The structure in CIF format:
```
data_SrMoCl2
_cell_length_a 4.939
_cell_length_b 4.939
_cell_length_c 4.939
_cell_angle_alpha 60.00
_cell_angle_beta 60.00
_cell_angle_gamma 60.00
_space_group_name_H-M_alt 'P 1'
_space_group_IT_number 1
loop_
_space_group_symop_operation_xyz
'x,y,z'
loop_
_atom_site_label
_atom_site_type_symbol
_atom_site_fract_x
_atom_site_fract_y
_atom_site_fract_z
Sr1 Sr 0.000 0.000 0.000
Cl1 Cl 0.250 0.250 0.250
Cl2 Cl 0.750 0.750 0.750
Mo1 Mo 0.500 0.500 0.500
```



Verdict on stability: run x comes out on top.



Run w
TaMoCl2 | GGA-PBEsol | optimized geometry

density of states at the Fermi level = 3.1 states/eV per cell
density = 8.1 g cm⁻³
crystal system = tetragonal

The structure in CIF format:
```
data_TaMoCl2
_cell_length_a 2.939
_cell_length_b 2.939
_cell_length_c 8.235
_cell_angle_alpha 90.00
_cell_angle_beta 90.00
_cell_angle_gamma 90.00
_space_group_name_H-M_alt 'P 1'
_space_group_IT_number 1
loop_
_space_group_symop_operation_xyz
'x,y,z'
loop_
_atom_site_label
_atom_site_type_symbol
_atom_site_fract_x
_atom_site_fract_y
_atom_site_fract_z
Mo1 Mo 0.000 0.000 0.499
Ta1 Ta 0.500 0.500 0.744
Cl1 Cl 0.000 0.000 0.941
Cl2 Cl 0.500 0.500 0.317
```



Run x
TaMoCl2 | GGA-PBEsol | optimized geometry

density of states at the Fermi level = 3.0 states/eV per cell
density = 6.9 g cm⁻³
crystal system = monoclinic

The structure in CIF format:
```
data_TaMoCl2
_cell_length_a 3.061
_cell_length_b 4.395
_cell_length_c 6.488
_cell_angle_alpha 96.37
_cell_angle_beta 103.65
_cell_angle_gamma 90.00
_space_group_name_H-M_alt 'P 1'
_space_group_IT_number 1
loop_
_space_group_symop_operation_xyz
'x,y,z'
loop_
_atom_site_label
_atom_site_type_symbol
_atom_site_fract_x
_atom_site_fract_y
_atom_site_fract_z
Cl1 Cl 0.347 0.287 0.695
Cl2 Cl 0.653 0.713 0.305
Ta1 Ta 0.000 0.500 0.000
Mo1 Mo 0.500 0.000 0.000
```



Run y
TaMoCl2 | GGA-PBEsol | optimized geometry

density of states at the Fermi level = 3.3 states/eV per cell
density = 9.3 g cm⁻³
crystal system = tetragonal

The structure in CIF format:
```
data_TaMoCl2
_cell_length_a 3.589
_cell_length_b 3.589
_cell_length_c 5.426
_cell_angle_alpha 109.31
_cell_angle_beta 109.31
_cell_angle_gamma 90.00
_space_group_name_H-M_alt 'P 1'
_space_group_IT_number 1
loop_
_space_group_symop_operation_xyz
'x,y,z'
loop_
_atom_site_label
_atom_site_type_symbol
_atom_site_fract_x
_atom_site_fract_y
_atom_site_fract_z
Ta1 Ta 0.250 0.750 0.500
Cl1 Cl 0.000 0.000 0.000
Cl2 Cl 0.750 0.250 0.500
Mo1 Mo 0.500 0.500 0.000
```



Verdict on stability: run w comes out on top.



Run w
Tc2MoCl | GGA-PBEsol | optimized geometry

density of states at the Fermi level = 2.4 states/eV per cell
density = 9.4 g cm⁻³
crystal system = monoclinic

The structure in CIF format:
```
data_Tc2MoCl
_cell_length_a 2.820
_cell_length_b 3.958
_cell_length_c 5.354
_cell_angle_alpha 90.00
_cell_angle_beta 104.57
_cell_angle_gamma 90.00
_space_group_name_H-M_alt 'P 1'
_space_group_IT_number 1
loop_
_space_group_symop_operation_xyz
'x,y,z'
loop_
_atom_site_label
_atom_site_type_symbol
_atom_site_fract_x
_atom_site_fract_y
_atom_site_fract_z
Mo1 Mo 0.449 0.500 0.745
Tc1 Tc 0.641 0.500 0.241
Tc2 Tc 0.044 0.000 0.035
Cl1 Cl 0.365 0.000 0.480
```



Run x
Tc2MoCl | GGA-PBEsol | optimized geometry

density of states at the Fermi level = 3.1 states/eV per cell
density = 9.4 g cm⁻³
crystal system = trigonal

The structure in CIF format:
```
data_Tc2MoCl
_cell_length_a 2.836
_cell_length_b 2.836
_cell_length_c 8.476
_cell_angle_alpha 80.37
_cell_angle_beta 80.37
_cell_angle_gamma 60.00
_space_group_name_H-M_alt 'P 1'
_space_group_IT_number 1
loop_
_space_group_symop_operation_xyz
'x,y,z'
loop_
_atom_site_label
_atom_site_type_symbol
_atom_site_fract_x
_atom_site_fract_y
_atom_site_fract_z
Tc1 Tc 0.248 0.248 0.255
Tc2 Tc 0.752 0.752 0.745
Mo1 Mo 0.000 0.000 0.000
Cl1 Cl 0.500 0.500 0.500
```



Verdict on stability: run x comes out on top.



Run w
TlMo2Cl | GGA-PBEsol | optimized geometry

density of states at the Fermi level = 3.3 states/eV per cell
density = 8.8 g cm⁻³
crystal system = trigonal

The structure in CIF format:
```
data_TlMo2Cl
_cell_length_a 3.172
_cell_length_b 3.172
_cell_length_c 9.544
_cell_angle_alpha 80.43
_cell_angle_beta 80.43
_cell_angle_gamma 60.00
_space_group_name_H-M_alt 'P 1'
_space_group_IT_number 1
loop_
_space_group_symop_operation_xyz
'x,y,z'
loop_
_atom_site_label
_atom_site_type_symbol
_atom_site_fract_x
_atom_site_fract_y
_atom_site_fract_z
Tl1 Tl 0.492 0.492 0.524
Cl1 Cl 0.272 0.272 0.184
Mo1 Mo 0.005 0.005 0.984
Mo2 Mo 0.731 0.731 0.808
```



Run x
TlMo2Cl | GGA-PBEsol | optimized geometry

density of states at the Fermi level = 3.4 states/eV per cell
density = 10.2 g cm⁻³
crystal system = orthorhombic

The structure in CIF format:
```
data_TlMo2Cl
_cell_length_a 2.884
_cell_length_b 4.835
_cell_length_c 5.050
_cell_angle_alpha 90.00
_cell_angle_beta 90.00
_cell_angle_gamma 90.00
_space_group_name_H-M_alt 'P 1'
_space_group_IT_number 1
loop_
_space_group_symop_operation_xyz
'x,y,z'
loop_
_atom_site_label
_atom_site_type_symbol
_atom_site_fract_x
_atom_site_fract_y
_atom_site_fract_z
Cl1 Cl 0.000 0.500 0.500
Mo1 Mo 0.500 0.000 0.500
Mo2 Mo 0.000 0.000 0.000
Tl1 Tl 0.500 0.500 0.000
```



Verdict on stability: run w comes out on top.



Run w
TlMo2Cl | GGA-PBEsol | optimized geometry

density of states at the Fermi level = 1.1 states/eV per cell
density = 7.8 g cm⁻³
crystal system = monoclinic

The structure in CIF format:
```
data_TlMo2Cl
_cell_length_a 3.142
_cell_length_b 4.921
_cell_length_c 6.298
_cell_angle_alpha 101.71
_cell_angle_beta 104.45
_cell_angle_gamma 90.00
_space_group_name_H-M_alt 'P 1'
_space_group_IT_number 1
loop_
_space_group_symop_operation_xyz
'x,y,z'
loop_
_atom_site_label
_atom_site_type_symbol
_atom_site_fract_x
_atom_site_fract_y
_atom_site_fract_z
Mo1 Mo 0.344 0.919 0.688
Mo2 Mo 0.991 0.017 0.982
Cl1 Cl 0.697 0.070 0.394
Tl1 Tl 0.468 0.494 0.935
```



Run x
TlMo2Cl | GGA-PBEsol | optimized geometry

density of states at the Fermi level = 2.2 states/eV per cell
density = 7.6 g cm⁻³
crystal system = monoclinic

The structure in CIF format:
```
data_TlMo2Cl
_cell_length_a 3.097
_cell_length_b 5.404
_cell_length_c 6.128
_cell_angle_alpha 78.01
_cell_angle_beta 75.37
_cell_angle_gamma 73.35
_space_group_name_H-M_alt 'P 1'
_space_group_IT_number 1
loop_
_space_group_symop_operation_xyz
'x,y,z'
loop_
_atom_site_label
_atom_site_type_symbol
_atom_site_fract_x
_atom_site_fract_y
_atom_site_fract_z
Tl1 Tl 0.500 0.000 0.000
Cl1 Cl 0.000 0.500 0.500
Mo1 Mo 0.286 0.574 0.854
Mo2 Mo 0.714 0.426 0.146
```



Verdict on stability: run w comes out on top.



Run w
Tl2MoCl | GGA-PBEsol | optimized geometry

density of states at the Fermi level = 0.6 states/eV per cell
density = 10.2 g cm⁻³
crystal system = cubic

The structure in CIF format:
```
data_Tl2MoCl
_cell_length_a 4.992
_cell_length_b 4.992
_cell_length_c 4.992
_cell_angle_alpha 60.00
_cell_angle_beta 60.00
_cell_angle_gamma 60.00
_space_group_name_H-M_alt 'P 1'
_space_group_IT_number 1
loop_
_space_group_symop_operation_xyz
'x,y,z'
loop_
_atom_site_label
_atom_site_type_symbol
_atom_site_fract_x
_atom_site_fract_y
_atom_site_fract_z
Tl1 Tl 0.000 0.000 0.000
Tl2 Tl 0.750 0.750 0.750
Mo1 Mo 0.250 0.250 0.250
Cl1 Cl 0.500 0.500 0.500
```



Run x
Tl2MoCl | GGA-PBEsol | optimized geometry

density of states at the Fermi level = 2.2 states/eV per cell
density = 10.0 g cm⁻³
crystal system = monoclinic

The structure in CIF format:
```
data_Tl2MoCl
_cell_length_a 2.985
_cell_length_b 5.157
_cell_length_c 5.801
_cell_angle_alpha 90.41
_cell_angle_beta 90.00
_cell_angle_gamma 90.00
_space_group_name_H-M_alt 'P 1'
_space_group_IT_number 1
loop_
_space_group_symop_operation_xyz
'x,y,z'
loop_
_atom_site_label
_atom_site_type_symbol
_atom_site_fract_x
_atom_site_fract_y
_atom_site_fract_z
Tl1 Tl 0.000 0.000 0.000
Tl2 Tl 0.500 0.500 0.500
Cl1 Cl 0.500 0.500 0.000
Mo1 Mo 0.000 0.000 0.500
```



Run y
Tl2MoCl | GGA-PBEsol | optimized geometry

density of states at the Fermi level = 2.6 states/eV per cell
density = 10.6 g cm⁻³
crystal system = trigonal

The structure in CIF format:
```
data_Tl2MoCl
_cell_length_a 3.315
_cell_length_b 3.315
_cell_length_c 9.064
_cell_angle_alpha 79.46
_cell_angle_beta 79.46
_cell_angle_gamma 60.00
_space_group_name_H-M_alt 'P 1'
_space_group_IT_number 1
loop_
_space_group_symop_operation_xyz
'x,y,z'
loop_
_atom_site_label
_atom_site_type_symbol
_atom_site_fract_x
_atom_site_fract_y
_atom_site_fract_z
Cl1 Cl 0.500 0.500 0.500
Tl1 Tl 0.253 0.253 0.241
Tl2 Tl 0.747 0.747 0.759
Mo1 Mo 0.000 0.000 0.000
```



Verdict on stability: run y comes out on top.



Run w
Mo2WCl | GGA-PBEsol | optimized geometry

density of states at the Fermi level = 2.9 states/eV per cell
density = 11.2 g cm⁻³
crystal system = tetragonal

The structure in CIF format:
```
data_Mo2WCl
_cell_length_a 2.965
_cell_length_b 2.965
_cell_length_c 6.930
_cell_angle_alpha 90.00
_cell_angle_beta 90.00
_cell_angle_gamma 90.00
_space_group_name_H-M_alt 'P 1'
_space_group_IT_number 1
loop_
_space_group_symop_operation_xyz
'x,y,z'
loop_
_atom_site_label
_atom_site_type_symbol
_atom_site_fract_x
_atom_site_fract_y
_atom_site_fract_z
Mo1 Mo 0.000 0.000 0.010
Mo2 Mo 0.500 0.500 0.247
W1 W 0.000 0.000 0.491
Cl1 Cl 0.500 0.500 0.752
```



Run x
Mo2WCl | GGA-PBEsol | optimized geometry

density of states at the Fermi level = 4.4 states/eV per cell
density = 11.2 g cm⁻³
crystal system = trigonal

The structure in CIF format:
```
data_Mo2WCl
_cell_length_a 2.855
_cell_length_b 2.855
_cell_length_c 8.788
_cell_angle_alpha 80.65
_cell_angle_beta 80.65
_cell_angle_gamma 60.00
_space_group_name_H-M_alt 'P 1'
_space_group_IT_number 1
loop_
_space_group_symop_operation_xyz
'x,y,z'
loop_
_atom_site_label
_atom_site_type_symbol
_atom_site_fract_x
_atom_site_fract_y
_atom_site_fract_z
Mo1 Mo 0.253 0.253 0.240
Mo2 Mo 0.747 0.747 0.760
W1 W 0.500 0.500 0.500
Cl1 Cl 0.000 0.000 0.000
```



Verdict on stability: run x comes out on top.



Run w
MoW2Cl | GGA-PBEsol | optimized geometry

density of states at the Fermi level = 3.0 states/eV per cell
density = 13.0 g cm⁻³
crystal system = monoclinic

The structure in CIF format:
```
data_MoW2Cl
_cell_length_a 2.940
_cell_length_b 4.523
_cell_length_c 5.008
_cell_angle_alpha 91.51
_cell_angle_beta 107.07
_cell_angle_gamma 90.00
_space_group_name_H-M_alt 'P 1'
_space_group_IT_number 1
loop_
_space_group_symop_operation_xyz
'x,y,z'
loop_
_atom_site_label
_atom_site_type_symbol
_atom_site_fract_x
_atom_site_fract_y
_atom_site_fract_z
Cl1 Cl 0.514 0.437 0.028
W1 W 0.718 0.788 0.436
W2 W 0.993 0.021 0.986
Mo1 Mo 0.275 0.254 0.550
```



Run x
MoW2Cl | GGA-PBEsol | optimized geometry

density of states at the Fermi level = 2.1 states/eV per cell
density = 10.9 g cm⁻³
crystal system = orthorhombic

The structure in CIF format:
```
data_MoW2Cl
_cell_length_a 3.003
_cell_length_b 3.893
_cell_length_c 6.526
_cell_angle_alpha 90.00
_cell_angle_beta 90.00
_cell_angle_gamma 90.00
_space_group_name_H-M_alt 'P 1'
_space_group_IT_number 1
loop_
_space_group_symop_operation_xyz
'x,y,z'
loop_
_atom_site_label
_atom_site_type_symbol
_atom_site_fract_x
_atom_site_fract_y
_atom_site_fract_z
Cl1 Cl 0.000 0.000 0.587
Mo1 Mo 0.500 0.500 0.793
W1 W 0.000 0.000 0.972
W2 W 0.500 0.500 0.149
```



Verdict on stability: run x comes out on top.